1.
The following is a GGA-PBE calculation of an optimized crystal structure of YZn2Pd9, from Alexandria.

Properties
Energy relative to the elements = -5.63 eV per formula unit

Cell and atoms, written as CIF:
```
data_YZn2Pd9
_cell_length_a 4.025
_cell_length_b 4.025
_cell_length_c 11.783
_cell_angle_alpha 90.00
_cell_angle_beta 90.00
_cell_angle_gamma 90.00
_space_group_name_H-M_alt 'P 4/m m m'
_space_group_IT_number 123
_space_group_name_Hall '-P 4 2'
loop_
_atom_site_label
_atom_site_fract_x
_atom_site_fract_y
_atom_site_fract_z
_atom_site_occupancy
Y1 0.000 0.000 0.000 1
Zn1 0.000 0.000 0.343 1
Pd1 0.000 0.500 0.181 1
Pd2 0.000 0.500 0.500 1
Pd3 0.500 0.500 0.000 1
Pd4 0.500 0.500 0.340 1
```

2.
The following is a GGA-PBE calculation of an optimized crystal structure of CdIn2Hg6Bi, from Alexandria.

Properties
Energy relative to the elements = 0.37 eV per formula unit

Cell and atoms, written as CIF:
```
data_CdIn2Hg6Bi
_cell_length_a 10.280
_cell_length_b 12.887
_cell_length_c 8.331
_cell_angle_alpha 90.00
_cell_angle_beta 98.85
_cell_angle_gamma 90.00
_space_group_name_H-M_alt 'C 1 2/c 1'
_space_group_IT_number 15
loop_
_space_group_symop_operation_xyz
'x,y,z'
'-x,-y,-z'
'-x,y,-z+1/2'
'x,-y,z+1/2'
'x+1/2,y+1/2,z'
'-x+1/2,-y+1/2,-z'
'-x+1/2,y+1/2,-z+1/2'
'x+1/2,-y+1/2,z+1/2'
loop_
_atom_site_label
_atom_site_fract_x
_atom_site_fract_y
_atom_site_fract_z
_atom_site_occupancy
Cd1 0.000 0.044 0.250 1
In1 0.213 0.454 0.107 1
Hg1 0.075 0.151 0.585 1
Hg2 0.109 0.357 0.404 1
Hg3 0.195 0.197 0.152 1
Bi1 0.000 0.379 0.750 1
```

3.
The following is a GGA-PBE calculation of an optimized crystal structure of IrWBr2, from Alexandria.

Properties
Offset from the most stable computed form = 1.358 eV/atom
Uncorrected formation energy = 1.429 eV per atom

Cell and atoms, written as CIF:
```
data_IrWBr2
_cell_length_a 6.498
_cell_length_b 6.498
_cell_length_c 6.498
_cell_angle_alpha 90.00
_cell_angle_beta 90.00
_cell_angle_gamma 90.00
_space_group_name_H-M_alt 'F m -3 m'
_space_group_IT_number 225
_space_group_name_Hall '-F 4 2 3'
loop_
_atom_site_label
_atom_site_fract_x
_atom_site_fract_y
_atom_site_fract_z
_atom_site_occupancy
Ir1 0.000 0.000 0.000 1
W1 0.000 0.000 0.500 1
Br1 0.250 0.250 0.250 1
```

4.
The following is a GGA-PBE calculation of an optimized crystal structure of BeNiAs, from Alexandria.

Properties
Offset from the most stable computed form = 0.320 eV/atom
Energy relative to the elements = 0.23 eV per formula unit

Cell and atoms, written as CIF:
```
data_BeNiAs
_cell_length_a 2.725
_cell_length_b 2.725
_cell_length_c 10.251
_cell_angle_alpha 90.00
_cell_angle_beta 90.00
_cell_angle_gamma 90.00
_space_group_name_H-M_alt 'I 4 m m'
_space_group_IT_number 107
_space_group_name_Hall 'I 4 -2'
loop_
_atom_site_label
_atom_site_fract_x
_atom_site_fract_y
_atom_site_fract_z
_atom_site_occupancy
Be1 0.000 0.000 0.000 1
Ni1 0.000 0.000 0.615 1
As1 0.000 0.000 0.295 1
```

5.
The following is a GGA-PBE calculation of an optimized crystal structure of LiPu2Pt2Pb, from Alexandria.

Properties
Energy relative to the elements = -1.80 eV per formula unit

Cell and atoms, written as CIF:
```
data_LiPu2Pt2Pb
_cell_length_a 5.588
_cell_length_b 5.588
_cell_length_c 10.659
_cell_angle_alpha 90.00
_cell_angle_beta 90.00
_cell_angle_gamma 90.00
_space_group_name_H-M_alt 'I 4/m m m'
_space_group_IT_number 139
_space_group_name_Hall '-I 4 2'
loop_
_atom_site_label
_atom_site_fract_x
_atom_site_fract_y
_atom_site_fract_z
_atom_site_occupancy
Li1 0.000 0.000 0.000 1
Pu1 0.000 0.500 0.250 1
Pt1 0.000 0.000 0.236 1
Pb1 0.000 0.000 0.500 1
```

6.
The following is a GGA-PBE calculation of an optimized crystal structure of CeDyEr2Tm4, from Alexandria.

Properties
Energy relative to the elements = 0.37 eV per formula unit

Cell and atoms, written as CIF:
```
data_CeDyEr2Tm4
_cell_length_a 4.962
_cell_length_b 4.962
_cell_length_c 9.868
_cell_angle_alpha 90.00
_cell_angle_beta 90.00
_cell_angle_gamma 90.00
_space_group_name_H-M_alt 'P 4/m m m'
_space_group_IT_number 123
_space_group_name_Hall '-P 4 2'
loop_
_atom_site_label
_atom_site_fract_x
_atom_site_fract_y
_atom_site_fract_z
_atom_site_occupancy
Ce1 0.000 0.000 0.000 1
Dy1 0.500 0.500 0.500 1
Er1 0.000 0.000 0.500 1
Er2 0.500 0.500 0.000 1
Tm1 0.000 0.500 0.249 1
```

7.
The following is a GGA-PBE calculation of an optimized crystal structure of BeCuPt2, from Alexandria.

Properties
Energy relative to the elements = -1.56 eV per formula unit

Cell and atoms, written as CIF:
```
data_BeCuPt2
_cell_length_a 2.7617
_cell_length_b 2.7617
_cell_length_c 23.9768
_cell_angle_alpha 90.00
_cell_angle_beta 90.00
_cell_angle_gamma 120.00
_space_group_name_H-M_alt 'R -3 m'
_space_group_IT_number 166
_space_group_name_Hall '-R 3 2"'
loop_
_atom_site_label
_atom_site_fract_x
_atom_site_fract_y
_atom_site_fract_z
_atom_site_occupancy
Be1 0.0000 0.0000 0.0000 1
Cu1 0.0000 0.0000 0.5000 1
Pt1 0.0000 0.0000 0.2590 1
```

8.
The following is a GGA-PBE calculation of an optimized crystal structure of BaCr2Ga2, from Alexandria.

Properties
Energy relative to the elements = 1.66 eV per formula unit

Cell and atoms, written as CIF:
```
data_BaCr2Ga2
_cell_length_a 4.682
_cell_length_b 4.682
_cell_length_c 9.563
_cell_angle_alpha 90.00
_cell_angle_beta 90.00
_cell_angle_gamma 90.00
_space_group_name_H-M_alt 'I 4/m m m'
_space_group_IT_number 139
_space_group_name_Hall '-I 4 2'
loop_
_atom_site_label
_atom_site_fract_x
_atom_site_fract_y
_atom_site_fract_z
_atom_site_occupancy
Ba1 0.000 0.000 0.000 1
Cr1 0.000 0.000 0.405 1
Ga1 0.000 0.500 0.250 1
```